<a>
# TiV2Ag

Crystalline TiV2Ag at its relaxed geometry (PBE, Alexandria).

```
TiV2Ag
1.0
6.257 0.000 0.000
0.000 6.257 0.000
0.000 0.000 6.257
Ti V Ag
4 8 4
Direct
0.000 0.000 0.000
0.000 0.500 0.500
0.500 0.000 0.500
0.500 0.500 0.000
0.250 0.250 0.250
0.250 0.250 0.750
0.250 0.750 0.250
0.250 0.750 0.750
0.750 0.250 0.250
0.750 0.250 0.750
0.750 0.750 0.250
0.750 0.750 0.750
0.000 0.000 0.500
0.000 0.500 0.000
0.500 0.000 0.000
0.500 0.500 0.500
```

---

<b>
# TiV2Ag

Crystalline TiV2Ag at its relaxed geometry (PBE, Alexandria).

```
TiV2Ag
1.0
3.704 0.000 0.000
0.000 3.704 0.000
0.000 0.000 19.129
Ti V Ag
4 8 4
Direct
0.000 0.000 0.000
0.000 0.500 0.250
0.500 0.000 0.750
0.500 0.500 0.500
0.233 0.250 0.125
0.250 0.733 0.375
0.250 0.767 0.875
0.267 0.250 0.625
0.733 0.750 0.625
0.750 0.233 0.875
0.750 0.267 0.375
0.767 0.750 0.125
0.000 0.000 0.500
0.000 0.500 0.750
0.500 0.000 0.250
0.500 0.500 0.000
```

---

<a> is the most stable structure; the next one sits 214 meV per atom above it.

---

<a>
# TiV3Ag

Crystalline TiV3Ag at its relaxed geometry (PBE, Alexandria).

```
TiV3Ag
1.0
4.443 0.000 0.000
0.000 4.443 0.000
0.000 0.000 4.443
Ti V Ag
1 3 1
Direct
0.000 0.000 0.000
0.000 0.000 0.500
0.000 0.500 0.000
0.500 0.000 0.000
0.500 0.500 0.500
```

---

<b>
# TiV3Ag

Crystalline TiV3Ag at its relaxed geometry (PBE, Alexandria).

```
TiV3Ag
1.0
4.784 0.000 0.000
0.000 4.784 0.000
0.000 0.000 4.784
Ti V Ag
1 3 1
Direct
0.000 0.000 0.000
0.000 0.500 0.500
0.500 0.000 0.500
0.500 0.500 0.000
0.500 0.500 0.500
```

---

<a> is the most stable structure; the next one sits 496 meV per atom above it.

---

<a>
# YTiAg2

Crystalline YTiAg2 at its relaxed geometry (PBE, Alexandria).

```
YTiAg2
1.0
6.965 0.000 0.000
0.000 6.965 0.000
0.000 0.000 6.965
Y Ti Ag
4 4 8
Direct
0.000 0.000 0.000
0.000 0.500 0.500
0.500 0.000 0.500
0.500 0.500 0.000
0.000 0.000 0.500
0.000 0.500 0.000
0.500 0.000 0.000
0.500 0.500 0.500
0.250 0.250 0.250
0.250 0.250 0.750
0.250 0.750 0.250
0.250 0.750 0.750
0.750 0.250 0.250
0.750 0.250 0.750
0.750 0.750 0.250
0.750 0.750 0.750
```

---

<b>
# YTiAg2

Crystalline YTiAg2 at its relaxed geometry (PBE, Alexandria).

```
YTiAg2
1.0
7.829 0.000 0.000
0.000 7.829 0.000
0.000 0.000 5.715
Y Ti Ag
4 4 8
Direct
0.000 0.000 0.000
0.000 0.500 0.250
0.500 0.000 0.750
0.500 0.500 0.500
0.000 0.000 0.500
0.000 0.500 0.750
0.500 0.000 0.250
0.500 0.500 0.000
0.216 0.250 0.625
0.250 0.716 0.875
0.250 0.784 0.375
0.284 0.250 0.125
0.716 0.750 0.125
0.750 0.216 0.375
0.750 0.284 0.875
0.784 0.750 0.625
```

---

<a> is the most stable structure; the next one sits 314 meV per atom above it.

---

<a>
# YTi2Ag2

Crystalline YTi2Ag2 at its relaxed geometry (PBE, Alexandria).

```
YTi2Ag2
1.0
3.810 0.000 0.000
0.000 3.810 0.000
0.000 0.000 14.318
Y Ti Ag
2 4 4
Direct
0.000 0.000 0.000
0.500 0.500 0.500
0.000 0.500 0.250
0.000 0.500 0.750
0.500 0.000 0.250
0.500 0.000 0.750
0.000 0.000 0.400
0.000 0.000 0.600
0.500 0.500 0.100
0.500 0.500 0.900
```

---

<b>
# YTi2Ag2

Crystalline YTi2Ag2 at its relaxed geometry (PBE, Alexandria).

```
YTi2Ag2
1.0
8.132 0.000 0.000
0.000 8.132 0.000
0.000 0.000 3.053
Y Ti Ag
2 4 4
Direct
0.000 0.000 0.000
0.500 0.500 0.000
0.114 0.386 0.000
0.386 0.886 0.000
0.614 0.114 0.000
0.886 0.614 0.000
0.180 0.680 0.500
0.320 0.180 0.500
0.680 0.820 0.500
0.820 0.320 0.500
```

---

<a> is the most stable structure; the next one sits 25 meV per atom above it.

---

<a>
# YTi3Ag

Crystalline YTi3Ag at its relaxed geometry (PBE, Alexandria).

```
YTi3Ag
1.0
4.845 0.000 0.000
0.000 4.845 0.000
0.000 0.000 4.845
Y Ti Ag
1 3 1
Direct
0.000 0.000 0.000
0.000 0.000 0.500
0.000 0.500 0.000
0.500 0.000 0.000
0.500 0.500 0.500
```

---

<b>
# YTi3Ag

Crystalline YTi3Ag at its relaxed geometry (PBE, Alexandria).

```
YTi3Ag
1.0
4.957 0.000 0.000
0.000 4.957 0.000
0.000 0.000 4.957
Y Ti Ag
1 3 1
Direct
0.000 0.000 0.000
0.000 0.500 0.500
0.500 0.000 0.500
0.500 0.500 0.000
0.500 0.500 0.500
```

---

<b> is the most stable structure; the next one sits 698 meV per atom above it.

---

<a>
# Y2TiAg

Crystalline Y2TiAg at its relaxed geometry (PBE, Alexandria).

```
Y2TiAg
1.0
7.325 0.000 0.000
0.000 7.325 0.000
0.000 0.000 7.325
Y Ti Ag
8 4 4
Direct
0.250 0.250 0.250
0.250 0.250 0.750
0.250 0.750 0.250
0.250 0.750 0.750
0.750 0.250 0.250
0.750 0.250 0.750
0.750 0.750 0.250
0.750 0.750 0.750
0.000 0.000 0.000
0.000 0.500 0.500
0.500 0.000 0.500
0.500 0.500 0.000
0.000 0.000 0.500
0.000 0.500 0.000
0.500 0.000 0.000
0.500 0.500 0.500
```

---

<b>
# Y2TiAg

Crystalline Y2TiAg at its relaxed geometry (PBE, Alexandria).

```
Y2TiAg
1.0
8.125 0.000 0.000
0.000 8.125 0.000
0.000 0.000 6.288
Y Ti Ag
8 4 4
Direct
0.223 0.750 0.125
0.250 0.223 0.875
0.250 0.277 0.375
0.277 0.750 0.625
0.723 0.250 0.625
0.750 0.723 0.375
0.750 0.777 0.875
0.777 0.250 0.125
0.000 0.000 0.500
0.000 0.500 0.750
0.500 0.000 0.250
0.500 0.500 0.000
0.000 0.000 0.000
0.000 0.500 0.250
0.500 0.000 0.750
0.500 0.500 0.500
```

---

<c>
# Y2TiAg

Crystalline Y2TiAg at its relaxed geometry (PBE, Alexandria).

```
Y2TiAg
1.0
3.431 0.000 0.000
0.000 3.431 0.000
0.000 0.000 8.230
Y Ti Ag
2 1 1
Direct
0.000 0.000 0.248
0.000 0.000 0.752
0.500 0.500 0.500
0.500 0.500 0.000
```

---

<c> is the most stable structure; the next one sits 119 meV per atom above it.

---

<a>
# YTi2Ag

Crystalline YTi2Ag at its relaxed geometry (PBE, Alexandria).

```
YTi2Ag
1.0
4.029 0.000 0.000
0.000 4.029 0.000
0.000 0.000 21.082
Y Ti Ag
4 8 4
Direct
0.000 0.000 0.000
0.000 0.500 0.250
0.500 0.000 0.750
0.500 0.500 0.500
0.236 0.250 0.625
0.250 0.736 0.875
0.250 0.764 0.375
0.264 0.250 0.125
0.736 0.750 0.125
0.750 0.236 0.375
0.750 0.264 0.875
0.764 0.750 0.625
0.000 0.000 0.500
0.000 0.500 0.750
0.500 0.000 0.250
0.500 0.500 0.000
```

---

<b>
# YTi2Ag

Crystalline YTi2Ag at its relaxed geometry (PBE, Alexandria).

```
YTi2Ag
1.0
6.812 0.000 0.000
0.000 6.812 0.000
0.000 0.000 6.812
Y Ti Ag
4 8 4
Direct
0.000 0.000 0.000
0.000 0.500 0.500
0.500 0.000 0.500
0.500 0.500 0.000
0.250 0.250 0.250
0.250 0.250 0.750
0.250 0.750 0.250
0.250 0.750 0.750
0.750 0.250 0.250
0.750 0.250 0.750
0.750 0.750 0.250
0.750 0.750 0.750
0.000 0.000 0.500
0.000 0.500 0.000
0.500 0.000 0.000
0.500 0.500 0.500
```

---

<b> is the most stable structure; the next one sits 51 meV per atom above it.

---

<a>
# TiZn2Ag2

Crystalline TiZn2Ag2 at its relaxed geometry (PBE, Alexandria).

```
TiZn2Ag2
1.0
7.706 0.000 0.000
0.000 7.706 0.000
0.000 0.000 2.814
Ti Zn Ag
2 4 4
Direct
0.000 0.000 0.000
0.500 0.500 0.000
0.169 0.331 0.500
0.331 0.831 0.500
0.669 0.169 0.500
0.831 0.669 0.500
0.130 0.630 0.000
0.370 0.130 0.000
0.630 0.870 0.000
0.870 0.370 0.000
```

---

<b>
# TiZn2Ag2

Crystalline TiZn2Ag2 at its relaxed geometry (PBE, Alexandria).

```
TiZn2Ag2
1.0
7.637 0.000 0.000
0.000 7.637 0.000
0.000 0.000 2.839
Ti Zn Ag
2 4 4
Direct
0.000 0.000 0.000
0.500 0.500 0.000
0.123 0.377 0.000
0.377 0.877 0.000
0.623 0.123 0.000
0.877 0.623 0.000
0.175 0.675 0.500
0.325 0.175 0.500
0.675 0.825 0.500
0.825 0.325 0.500
```

---

<c>
# TiZn2Ag2

Crystalline TiZn2Ag2 at its relaxed geometry (PBE, Alexandria).

```
TiZn2Ag2
1.0
3.628 0.000 0.000
0.000 3.628 0.000
0.000 0.000 13.375
Ti Zn Ag
2 4 4
Direct
0.000 0.000 0.000
0.500 0.500 0.500
0.000 0.500 0.250
0.000 0.500 0.750
0.500 0.000 0.250
0.500 0.000 0.750
0.000 0.000 0.399
0.000 0.000 0.601
0.500 0.500 0.101
0.500 0.500 0.899
```

---

<b> is the most stable structure; the next one sits 7 meV per atom above it.

---

<a>
# TiZn3Ag

Crystalline TiZn3Ag at its relaxed geometry (PBE, Alexandria).

```
TiZn3Ag
1.0
4.480 0.000 0.000
0.000 5.860 0.000
-2.223 0.000 6.154
Ti Zn Ag
2 6 2
Direct
0.111 0.250 0.223
0.889 0.750 0.777
0.314 0.504 0.627
0.314 0.996 0.627
0.493 0.250 0.986
0.507 0.750 0.014
0.686 0.004 0.373
0.686 0.496 0.373
0.125 0.750 0.252
0.875 0.250 0.748
```

---

<b>
# TiZn3Ag

Crystalline TiZn3Ag at its relaxed geometry (PBE, Alexandria).

```
TiZn3Ag
1.0
4.766 0.000 0.000
0.000 5.049 0.000
-0.008 -2.524 6.968
Ti Zn Ag
2 6 2
Direct
0.249 0.308 0.114
0.751 0.692 0.886
0.000 0.500 0.500
0.250 0.389 0.781
0.250 0.891 0.782
0.500 0.500 0.500
0.750 0.109 0.218
0.750 0.611 0.219
0.250 0.915 0.328
0.750 0.085 0.672
```

---

<c>
# TiZn3Ag

Crystalline TiZn3Ag at its relaxed geometry (PBE, Alexandria).

```
TiZn3Ag
1.0
4.707 0.000 0.000
0.000 4.707 0.000
0.000 0.000 4.707
Ti Zn Ag
1 3 1
Direct
0.000 0.000 0.000
0.000 0.500 0.500
0.500 0.000 0.500
0.500 0.500 0.000
0.500 0.500 0.500
```

---

<a> is the most stable structure; the next one sits 54 meV per atom above it.

---

<a>
# Ti2Zn6Ag

Crystalline Ti2Zn6Ag at its relaxed geometry (PBE, Alexandria).

```
Ti2Zn6Ag
1.0
3.304 -5.373 0.000
3.304 5.373 0.000
0.000 0.000 4.016
Ti Zn Ag
2 6 1
Direct
0.216 0.784 0.000
0.784 0.216 0.000
0.168 0.457 0.500
0.291 0.291 0.000
0.457 0.168 0.500
0.543 0.832 0.500
0.709 0.709 0.000
0.832 0.543 0.500
0.000 0.000 0.500
```

---

<b>
# Ti2Zn6Ag

Crystalline Ti2Zn6Ag at its relaxed geometry (PBE, Alexandria).

```
Ti2Zn6Ag
1.0
-2.172 2.738 6.425
2.172 -2.738 6.425
2.172 2.738 -6.425
Ti Zn Ag
2 6 1
Direct
0.104 0.104 0.000
0.896 0.896 0.000
0.054 0.300 0.753
0.232 0.500 0.732
0.453 0.700 0.753
0.547 0.300 0.247
0.768 0.500 0.268
0.946 0.700 0.247
0.500 0.000 0.500
```

---

<a> is the most stable structure; the next one sits 97 meV per atom above it.

---

<a>
# Ti2ZnAg2

Crystalline Ti2ZnAg2 at its relaxed geometry (PBE, Alexandria).

```
Ti2ZnAg2
1.0
7.494 0.000 0.000
0.000 7.494 0.000
0.000 0.000 3.167
Ti Zn Ag
4 2 4
Direct
0.168 0.332 0.000
0.332 0.832 0.000
0.668 0.168 0.000
0.832 0.668 0.000
0.000 0.000 0.500
0.500 0.500 0.500
0.131 0.631 0.500
0.369 0.131 0.500
0.631 0.869 0.500
0.869 0.369 0.500
```

---

<b>
# Ti2ZnAg2

Crystalline Ti2ZnAg2 at its relaxed geometry (PBE, Alexandria).

```
Ti2ZnAg2
1.0
7.908 0.000 0.000
0.000 7.908 0.000
0.000 0.000 2.906
Ti Zn Ag
4 2 4
Direct
0.168 0.332 0.000
0.332 0.832 0.000
0.668 0.168 0.000
0.832 0.668 0.000
0.000 0.000 0.000
0.500 0.500 0.000
0.129 0.629 0.500
0.371 0.129 0.500
0.629 0.871 0.500
0.871 0.371 0.500
```

---

<a> is the most stable structure; the next one sits 109 meV per atom above it.